[1]
Ac6Te3AsPd2 | PBE | relaxed

Lattice parameters (Å, degrees): 7.870 7.870 8.325 99.14 99.14 120.05
Sites, in units of the cell vectors:
Ac: 0.089 0.427 0.779
Ac: 0.236 0.236 0.222
Ac: 0.427 0.089 0.779
Ac: 0.573 0.911 0.221
Ac: 0.764 0.764 0.778
Ac: 0.911 0.573 0.221
Te: 0.000 0.000 0.500
Te: 0.337 0.663 0.500
Te: 0.663 0.337 0.500
As: 0.500 0.500 0.000
Pd: 0.167 0.833 0.000
Pd: 0.833 0.167 0.000

Calculated values
Final energy in eV/atom: -5.33
SG: C2/m (12)

***

[2]
Ac4Te2AsPd | PBE | relaxed

Lattice parameters (Å, degrees): 8.029 4.527 8.185 90.00 108.47 90.00
Sites, in units of the cell vectors:
Ac: 0.236 0.000 0.220
Ac: 0.259 0.500 0.774
Ac: 0.741 0.500 0.226
Ac: 0.764 0.000 0.780
Te: 0.000 0.000 0.500
Te: 0.500 0.500 0.500
As: 0.500 0.000 0.000
Pd: 0.000 0.500 0.000

Calculated values
Final energy in eV/atom: -5.38
SG: P2/m (10)

***

[3]
Ac8Te4As3Pd | PBE | relaxed

Lattice parameters (Å, degrees): 9.363 9.363 9.363 58.88 58.88 58.88
Sites, in units of the cell vectors:
Ac: 0.241 0.241 0.241
Ac: 0.243 0.740 0.740
Ac: 0.260 0.260 0.757
Ac: 0.260 0.757 0.260
Ac: 0.740 0.243 0.740
Ac: 0.740 0.740 0.243
Ac: 0.757 0.260 0.260
Ac: 0.759 0.759 0.759
Te: 0.000 0.000 0.000
Te: 0.000 0.500 0.500
Te: 0.500 0.000 0.500
Te: 0.500 0.500 0.000
As: 0.000 0.000 0.500
As: 0.000 0.500 0.000
As: 0.500 0.000 0.000
Pd: 0.500 0.500 0.500

Calculated values
Final energy in eV/atom: -5.46
SG: R-3m (166)

***

[4]
Ac2TlAs4Pd3 | PBE | relaxed

Lattice parameters (Å, degrees): 4.656 4.656 10.420 90.00 90.00 90.00
Sites, in units of the cell vectors:
Ac: 0.000 0.500 0.233
Ac: 0.500 0.000 0.767
Tl: 0.000 0.000 0.500
As: 0.000 0.000 0.000
As: 0.000 0.500 0.653
As: 0.500 0.000 0.347
As: 0.500 0.500 0.000
Pd: 0.000 0.500 0.893
Pd: 0.500 0.000 0.107
Pd: 0.500 0.500 0.500

Calculated values
Final energy in eV/atom: -5.21
Formation energy in eV/atom: -0.74
SG: P-4m2 (115)

***

[5]
Ac2TlAs3Pd4 | PBE | relaxed

Lattice parameters (Å, degrees): 4.458 4.458 10.968 90.00 90.00 90.00
Sites, in units of the cell vectors:
Ac: 0.000 0.500 0.234
Ac: 0.500 0.000 0.766
Tl: 0.000 0.000 0.500
As: 0.000 0.500 0.875
As: 0.500 0.000 0.125
As: 0.500 0.500 0.500
Pd: 0.000 0.000 0.000
Pd: 0.000 0.500 0.649
Pd: 0.500 0.000 0.351
Pd: 0.500 0.500 0.000

Calculated values
Final energy in eV/atom: -5.34
Formation energy in eV/atom: -0.81
SG: P-4m2 (115)

***

[6]
AcTmAs2Pd5 | PBE | relaxed

Lattice parameters (Å, degrees): 4.384 4.384 9.169 90.00 90.00 90.00
Sites, in units of the cell vectors:
Ac: 0.000 0.000 0.000
Tm: 0.000 0.000 0.500
As: 0.500 0.500 0.364
As: 0.500 0.500 0.636
Pd: 0.000 0.500 0.240
Pd: 0.000 0.500 0.760
Pd: 0.500 0.000 0.240
Pd: 0.500 0.000 0.760
Pd: 0.500 0.500 0.000

Calculated values
Final energy in eV/atom: -5.61
Formation energy in eV/atom: -0.74
SG: P4/mmm (123)

***

[7]
AcTmAs2Pd2 | PBE | relaxed

Lattice parameters (Å, degrees): 4.419 4.419 7.769 90.00 90.00 120.00
Sites, in units of the cell vectors:
Ac: 0.000 0.000 0.000
Tm: 0.000 0.000 0.500
As: 0.333 0.667 0.266
As: 0.667 0.333 0.734
Pd: 0.333 0.667 0.710
Pd: 0.667 0.333 0.290

Calculated values
Final energy in eV/atom: -5.88
Formation energy in eV/atom: -1.17
SG: P-3m1 (164)

***

[8]
Ac2TmAs4Pd3 | PBE | relaxed

Lattice parameters (Å, degrees): 4.542 4.542 10.905 90.00 90.00 90.00
Sites, in units of the cell vectors:
Ac: 0.000 0.500 0.220
Ac: 0.500 0.000 0.780
Tm: 0.000 0.000 0.500
As: 0.000 0.000 0.000
As: 0.000 0.500 0.649
As: 0.500 0.000 0.351
As: 0.500 0.500 0.000
Pd: 0.000 0.500 0.886
Pd: 0.500 0.000 0.114
Pd: 0.500 0.500 0.500

Calculated values
Final energy in eV/atom: -5.70
Formation energy in eV/atom: -1.01
SG: P-4m2 (115)

***

[9]
AcUAs2Pd2 | PBE | relaxed

Lattice parameters (Å, degrees): 4.414 4.414 7.963 90.00 90.00 120.00
Sites, in units of the cell vectors:
Ac: 0.000 0.000 0.000
U: 0.000 0.000 0.500
As: 0.333 0.667 0.260
As: 0.667 0.333 0.740
Pd: 0.333 0.667 0.707
Pd: 0.667 0.333 0.293

Calculated values
Final energy in eV/atom: -6.74
Formation energy in eV/atom: -0.89
SG: P-3m1 (164)

***

[10]
Ac3ZnAs2Pd9 | PBE | relaxed

Lattice parameters (Å, degrees): 6.383 6.383 9.640 90.00 90.00 120.00
Sites, in units of the cell vectors:
Ac: 0.000 0.000 0.000
Ac: 0.333 0.667 0.689
Ac: 0.667 0.333 0.311
Zn: 0.000 0.000 0.500
As: 0.333 0.667 0.173
As: 0.667 0.333 0.827
Pd: 0.000 0.500 0.000
Pd: 0.144 0.288 0.295
Pd: 0.144 0.856 0.295
Pd: 0.288 0.144 0.705
Pd: 0.500 0.000 0.000
Pd: 0.500 0.500 0.000
Pd: 0.712 0.856 0.295
Pd: 0.856 0.144 0.705
Pd: 0.856 0.712 0.705

Calculated values
Final energy in eV/atom: -5.29
Formation energy in eV/atom: -0.65
SG: P-3m1 (164)

***

[11]
Ac2ZnAs3Pd4 | PBE | relaxed

Lattice parameters (Å, degrees): 4.471 4.471 10.335 90.00 90.00 90.00
Sites, in units of the cell vectors:
Ac: 0.000 0.500 0.244
Ac: 0.500 0.000 0.756
Zn: 0.000 0.000 0.500
As: 0.000 0.500 0.867
As: 0.500 0.000 0.133
As: 0.500 0.500 0.500
Pd: 0.000 0.000 0.000
Pd: 0.000 0.500 0.622
Pd: 0.500 0.000 0.378
Pd: 0.500 0.500 0.000

Calculated values
Final energy in eV/atom: -5.31
Formation energy in eV/atom: -0.89
SG: P-4m2 (115)

***

[12]
AcZrAs2Pd2 | PBE | relaxed

Lattice parameters (Å, degrees): 4.406 4.406 7.525 90.00 90.00 120.00
Sites, in units of the cell vectors:
Ac: 0.000 0.000 0.000
Zr: 0.000 0.000 0.500
As: 0.333 0.667 0.273
As: 0.667 0.333 0.727
Pd: 0.333 0.667 0.690
Pd: 0.667 0.333 0.310

Calculated values
Final energy in eV/atom: -6.37
Formation energy in eV/atom: -0.98
SG: P-3m1 (164)